{
  "formula": "VCuTcRu",
  "functional": "GGA-PBE",
  "state": "optimized geometry",
  "formation_enthalpy_0k_kcal_per_mol_atoms": 1.005,
  "lattice": [[0.000, 2.996, 2.996], [2.996, 0.000, 2.996], [2.996, 2.996, 0.000]],
  "species": ["V", "Cu", "Tc", "Ru"],
  "fractional_positions": [[0.000, 0.000, 0.000], [0.500, 0.500, 0.500], [0.750, 0.750, 0.750], [0.250, 0.250, 0.250]]
}